{
  "formula": "Er2Tm2Pb",
  "functional": "PBE",
  "state": "optimized geometry",
  "lattice": [[-3.200, 2.557, -1.452], [-2.000, -3.466, -1.697], [-1.550, -0.664, 8.751]],
  "species": ["Er", "Er", "Tm", "Tm", "Pb"],
  "frac_coords": [[0.750, 0.250, 0.500], [0.250, 0.750, 0.500], [0.410, 0.410, 0.820], [0.590, 0.590, 0.180], [0.000, 0.000, 0.000]],
  "de_polymorph_mev_per_atom": 453,
  "e_form_ev_per_atom": 0.265
}